Entry 1:
Density functional theory data (PBE-GGA) for an optimized crystal structure of ErNbO4.

Lattice parameters (Å, degrees): 5.4537 5.1260 5.3326 84.38 90.00 90.00
Closest atoms and distances in Å follow each position.
Element x y z (fractional)
1 Nb 0.2942 0.5000 0.2500  4 O 1.89-1.99
2 Nb 0.7058 0.5000 0.7500  4 O 1.89-1.99
3 O 0.9242 0.7505 0.5923  1 Nb 1.89
4 O 0.5590 0.7394 0.9812  1 Nb 1.99
5 O 0.9242 0.2495 0.9077  1 Nb 1.89
6 O 0.4410 0.7394 0.4812  1 Nb 1.99
7 O 0.0758 0.2495 0.4077  1 Nb 1.89
8 O 0.5590 0.2606 0.5188  1 Nb 1.99
9 O 0.4410 0.2606 0.0188  1 Nb 1.99
10 O 0.0758 0.7505 0.0923  1 Nb 1.89
11 Er 0.2411 0.0000 0.7500  8 O 2.31-2.45
12 Er 0.7589 0.0000 0.2500  8 O 2.31-2.45

Its energy relative to the elements, uncorrected is -3.113 eV per atom. The magnetic moment comes out at 0.00 μB per atom. Its space group is P2/c, No. 13.

Entry 2:
Density functional theory data (PBE-GGA) for an optimized crystal structure of Er2NbO6.

Lattice parameters (Å, degrees): 5.0303 5.0303 10.0358 90.00 90.00 90.00
Closest atoms and distances in Å follow each position.
Element x y z (fractional)
1 O 0.8120 0.1880 0.8497  1 Nb 2.02, 2 Er 2.23-2.25
2 O 0.1880 0.8120 0.8497  1 Nb 2.02, 2 Er 2.23-2.25
3 O 0.1880 0.8120 0.1503  1 Nb 2.02, 2 Er 2.23-2.25
4 O 0.8120 0.1880 0.1503  1 Nb 2.02, 2 Er 2.23-2.25
5 O 0.6880 0.6880 0.6503  1 Nb 2.02, 2 Er 2.23-2.25
6 O 0.3120 0.3120 0.3497  1 Nb 2.02, 2 Er 2.23-2.25
7 O 0.7141 0.7141 0.0000  1 Nb 2.03
8 O 0.2859 0.2859 0.0000  1 Nb 2.03
9 O 0.3120 0.3120 0.6503  1 Nb 2.02, 2 Er 2.23-2.25
10 O 0.6880 0.6880 0.3497  1 Nb 2.02, 2 Er 2.23-2.25
11 O 0.7859 0.2141 0.5000  1 Nb 2.03
12 O 0.2141 0.7859 0.5000  1 Nb 2.03
13 Er 0.5000 0.5000 0.8311  6 O 2.23-2.28
14 Er 0.0000 0.0000 0.6689  6 O 2.23-2.28
15 Er 0.5000 0.5000 0.1689  6 O 2.23-2.28
16 Er 0.0000 0.0000 0.3311  6 O 2.23-2.28
17 Nb 0.0000 0.0000 0.0000  6 O 2.02-2.03
18 Nb 0.5000 0.5000 0.5000  6 O 2.02-2.03

Its energy relative to the elements, uncorrected is -2.922 eV per atom. The magnetic moment comes out at 0.11 μB per atom. Its space group is P4_2/mnm, No. 136.

Entry 3:
Density functional theory data (PBE-GGA) for an optimized crystal structure of ErNbO4.

Lattice parameters (Å, degrees): 4.9950 5.8574 5.8926 111.44 90.00 90.00
Closest atoms and distances in Å follow each position.
Element x y z (fractional)
1 O 0.8340 0.1233 0.3256  1 Nb 1.97
2 O 0.6660 0.6233 0.3256  1 Nb 1.97
3 O 0.3340 0.3767 0.6744  1 Nb 1.97
4 O 0.7892 0.6792 0.8732  2 Nb 2.04-2.08
5 O 0.2108 0.3208 0.1268  2 Nb 2.04-2.08
6 O 0.7108 0.1792 0.8732  2 Nb 2.04-2.08
7 O 0.1660 0.8767 0.6744  1 Nb 1.97
8 O 0.2892 0.8208 0.1268  2 Nb 2.04-2.08
9 Nb 0.0000 0.0000 0.0000  6 O 1.97-2.08
10 Nb 0.5000 0.5000 0.0000  6 O 1.97-2.08
11 Er 0.5000 0.0000 0.5000  6 O 2.21-2.31
12 Er 0.0000 0.5000 0.5000  6 O 2.21-2.31

Its energy relative to the elements, uncorrected is -3.030 eV per atom. The magnetic moment comes out at 0.00 μB per atom. Its space group is P2_1/c, No. 14.

Entry 4:
Density functional theory data (PBE-GGA) for an optimized crystal structure of Er3NbO7.

Lattice parameters (Å, degrees): 6.4655 6.4655 7.4213 90.00 90.00 108.42
Closest atoms and distances in Å follow each position.
Element x y z (fractional)
1 Er 0.9996 0.4635 0.2389  7 O 2.21-2.44
2 Er 0.0004 0.5365 0.7389  7 O 2.21-2.44
3 Er 0.5418 0.5418 0.0000  6 O 2.29-2.39
4 Er 0.4635 0.9996 0.7611  7 O 2.21-2.44
5 Er 0.4582 0.4582 0.5000  6 O 2.29-2.39
6 Er 0.5365 0.0004 0.2611  7 O 2.21-2.44
7 O 0.0856 0.3337 0.5221  1 Nb 2.07, 2 Er 2.25-2.29
8 O 0.6663 0.9144 0.9779  1 Nb 2.07, 2 Er 2.25-2.29
9 O 0.6936 0.9532 0.5508  1 Nb 1.93
10 O 0.9251 0.0749 0.2500  2 Nb 2.01
11 O 0.3064 0.0468 0.0508  1 Nb 1.93
12 O 0.6288 0.3712 0.7500  4 Er 2.30-2.32
13 O 0.9144 0.6663 0.0221  1 Nb 2.07, 2 Er 2.25-2.29
14 O 0.9532 0.6936 0.4492  1 Nb 1.93
15 O 0.6404 0.3596 0.2500  4 Er 2.21-2.39
16 O 0.3712 0.6288 0.2500  4 Er 2.30-2.32
17 O 0.3337 0.0856 0.4779  1 Nb 2.07, 2 Er 2.25-2.29
18 O 0.0468 0.3064 0.9492  1 Nb 1.93
19 O 0.0749 0.9251 0.7500  2 Nb 2.01
20 O 0.3596 0.6404 0.7500  4 Er 2.21-2.39
21 Nb 0.9972 0.9972 0.5000  6 O 1.93-2.07
22 Nb 0.0028 0.0028 0.0000  6 O 1.93-2.07

Its energy relative to the elements, uncorrected is -3.332 eV per atom. The magnetic moment comes out at 0.00 μB per atom. Its space group is C222_1, No. 20.

Entry 5:
Density functional theory data (PBE-GGA) for an optimized crystal structure of ErNbO4.

Lattice parameters (Å, degrees): 5.2164 5.2197 6.6359 113.19 113.18 89.93
Closest atoms and distances in Å follow each position.
Element x y z (fractional)
1 Er 0.6250 0.8750 0.2499  8 O 2.33-2.37
2 Er 0.3750 0.1250 0.7501  8 O 2.33-2.37
3 O 0.2888 0.1060 0.0698  1 Nb 1.90
4 O 0.7810 0.4637 0.0698  1 Nb 1.90
5 O 0.3948 0.7192 0.4305  1 Nb 1.90
6 O 0.2191 0.5362 0.9302  1 Nb 1.90
7 O 0.9643 0.7887 0.5695  1 Nb 1.90
8 O 0.6052 0.2808 0.5695  1 Nb 1.90
9 O 0.7112 0.8940 0.9302  1 Nb 1.90
10 O 0.0357 0.2113 0.4305  1 Nb 1.90
11 Nb 0.8747 0.6247 0.7494  4 O 1.90
12 Nb 0.1253 0.3753 0.2506  4 O 1.90

Its energy relative to the elements, uncorrected is -3.116 eV per atom. The magnetic moment comes out at 0.00 μB per atom. Its space group is C2/c, No. 15.

Entry 6:
Density functional theory data (PBE-GGA) for an optimized crystal structure of PmErNbO6.

Lattice parameters (Å, degrees): 5.1027 5.1027 10.2168 90.00 90.00 90.00
Closest atoms and distances in Å follow each position.
Element x y z (fractional)
1 O 0.7187 0.7187 0.6754  1 Nb 2.03, 1 Er 2.28
2 O 0.2187 0.7813 0.1754  1 Nb 2.03, 1 Er 2.28
3 O 0.8087 0.1913 0.8102  1 Nb 2.03, 1 Er 2.24
4 O 0.8190 0.1810 0.5151  1 Nb 2.01, 1 Er 2.25
5 O 0.6913 0.6913 0.3102  1 Nb 2.03, 1 Er 2.24
6 O 0.3087 0.3087 0.3102  1 Nb 2.03, 1 Er 2.24
7 O 0.1913 0.8087 0.8102  1 Nb 2.03, 1 Er 2.24
8 O 0.3190 0.3190 0.0151  1 Nb 2.01, 1 Er 2.25
9 O 0.7813 0.2187 0.1754  1 Nb 2.03, 1 Er 2.28
10 O 0.1810 0.8190 0.5151  1 Nb 2.01, 1 Er 2.25
11 O 0.2813 0.2813 0.6754  1 Nb 2.03, 1 Er 2.28
12 O 0.6810 0.6810 0.0151  1 Nb 2.01, 1 Er 2.25
13 Pm 0.0000 0.0000 0.9982  6 O 2.31-2.40
14 Pm 0.5000 0.5000 0.4982  6 O 2.31-2.40
15 Er 0.5000 0.5000 0.8359  6 O 2.24-2.28
16 Er 0.0000 0.0000 0.3359  6 O 2.24-2.28
17 Nb 0.5000 0.5000 0.1645  6 O 2.01-2.03
18 Nb 0.0000 0.0000 0.6645  6 O 2.01-2.03

Its energy relative to the elements, uncorrected is -2.860 eV per atom. The magnetic moment comes out at 0.11 μB per atom. Its space group is P4_2nm, No. 102.

Entry 7:
Density functional theory data (PBE-GGA) for an optimized crystal structure of Er2Nb2S7O30.

Lattice parameters (Å, degrees): 7.0743 12.8165 12.8165 90.00 90.00 90.00
Closest atoms and distances in Å follow each position.
Element x y z (fractional)
1 O 0.3352 0.0422 0.2140  1 S 1.47
2 O 0.2663 0.3227 0.8227  1 S 1.46
3 O 0.0750 0.1556 0.3444  1 S 1.45
4 O 0.7212 0.9345 0.9259  1 S 1.46
5 O 0.7897 0.7952 0.2952  1 Nb 1.78
6 O 0.2103 0.2952 0.2048  1 Nb 1.78
7 O 0.4597 0.7120 0.3657  1 S 1.47
8 O 0.6648 0.4578 0.7140  1 S 1.47
9 O 0.1391 0.5081 0.1428  1 S 1.51
10 O 0.9250 0.6556 0.1556  1 S 1.45
11 O 0.9250 0.3444 0.8444  1 S 1.45
12 O 0.5403 0.2120 0.1343  1 S 1.47
13 O 0.2198 0.0665 0.5665  1 S 1.49
14 O 0.7212 0.5741 0.5655  1 S 1.46
15 O 0.7212 0.0655 0.0741  1 S 1.46
16 O 0.5403 0.6343 0.7120  1 S 1.47
17 O 0.5403 0.3657 0.2880  1 S 1.47
18 O 0.7802 0.5665 0.9335  1 S 1.49
19 O 0.3352 0.2860 0.4578  1 S 1.47
20 O 0.4597 0.1343 0.7880  1 S 1.47
21 O 0.8609 0.8572 0.5081  1 S 1.51
22 O 0.2198 0.9335 0.4335  1 S 1.49
23 O 0.1213 0.2704 0.6056  1 S 1.54
24 O 0.8609 0.9919 0.6428  1 S 1.51
25 O 0.3352 0.7140 0.5422  1 S 1.47
26 O 0.1213 0.8944 0.2296  1 S 1.54
27 O 0.2788 0.0741 0.9345  1 S 1.46
28 O 0.2788 0.4345 0.5741  1 S 1.46
29 O 0.4582 0.9324 0.5676  1 S 1.47
30 O 0.5418 0.5676 0.0676  1 S 1.47
31 O 0.1213 0.7296 0.3944  1 S 1.54
32 O 0.8609 0.0081 0.3572  1 S 1.51
33 O 0.8787 0.6056 0.7296  1 S 1.54
34 O 0.2103 0.7048 0.7952  1 Nb 1.78
35 O 0.1391 0.6428 0.0081  1 S 1.51
36 O 0.6648 0.5422 0.2860  1 S 1.47
37 O 0.7337 0.8227 0.6773  1 S 1.46
38 O 0.6648 0.2140 0.9578  1 S 1.47
39 O 0.7897 0.2048 0.7048  1 Nb 1.78
40 O 0.4597 0.8657 0.2120  1 S 1.47
41 O 0.1391 0.4919 0.8572  1 S 1.51
42 O 0.0750 0.8444 0.6556  1 S 1.45
43 O 0.5403 0.7880 0.8657  1 S 1.47
44 O 0.2663 0.6773 0.1773  1 S 1.46
45 O 0.3352 0.9578 0.7860  1 S 1.47
46 O 0.4597 0.2880 0.6343  1 S 1.47
47 O 0.7802 0.4335 0.0665  1 S 1.49
48 O 0.6648 0.7860 0.0422  1 S 1.47
49 O 0.8609 0.1428 0.4919  1 S 1.51
50 O 0.5418 0.4324 0.9324  1 S 1.47
51 O 0.8787 0.7704 0.8944  1 S 1.54
52 O 0.1391 0.3572 0.9919  1 S 1.51
53 O 0.8787 0.3944 0.2704  1 S 1.54
54 O 0.2788 0.9259 0.0655  1 S 1.46
55 O 0.2788 0.5655 0.4259  1 S 1.46
56 O 0.7337 0.1773 0.3227  1 S 1.46
57 O 0.7212 0.4259 0.4345  1 S 1.46
58 O 0.4582 0.0676 0.4324  1 S 1.47
59 O 0.1213 0.1056 0.7704  1 S 1.54
60 O 0.8787 0.2296 0.1056  1 S 1.54
61 S 0.6954 0.1783 0.0653  4 O 1.46-1.54
62 S 0.1128 0.6234 0.1234  4 O 1.45-1.51
63 S 0.3046 0.9347 0.1783  4 O 1.46-1.54
64 S 0.3046 0.6783 0.4347  4 O 1.46-1.54
65 S 0.3046 0.0653 0.8217  4 O 1.46-1.54
66 S 0.3425 0.0000 0.5000  4 O 1.47-1.49
67 S 0.1128 0.3766 0.8766  4 O 1.45-1.51
68 S 0.6954 0.8217 0.9347  4 O 1.46-1.54
69 S 0.6954 0.4347 0.3217  4 O 1.46-1.54
70 S 0.6575 0.5000 0.0000  4 O 1.47-1.49
71 S 0.8872 0.1234 0.3766  4 O 1.45-1.51
72 S 0.6954 0.5653 0.6783  4 O 1.46-1.54
73 S 0.8872 0.8766 0.6234  4 O 1.45-1.51
74 S 0.3046 0.3217 0.5653  4 O 1.46-1.54
75 Nb 0.9770 0.1394 0.6394  1 O 1.78
76 Nb 0.0230 0.6394 0.8606  1 O 1.78
77 Nb 0.9770 0.8606 0.3606  1 O 1.78
78 Nb 0.0230 0.3606 0.1394  1 O 1.78
79 Er 0.5948 0.3037 0.8037  8 O 2.26-2.45
80 Er 0.4052 0.1963 0.3037  8 O 2.26-2.45
81 Er 0.4052 0.8037 0.6963  8 O 2.26-2.45
82 Er 0.5948 0.6963 0.1963  8 O 2.26-2.45

Its energy relative to the elements, uncorrected is -1.753 eV per atom. The magnetic moment comes out at 0.05 μB per atom. Its space group is P-42_1m, No. 113.

Entry 8:
Density functional theory data (PBE-GGA) for an optimized crystal structure of ErNbOs4.

Lattice parameters (Å, degrees): 5.2449 5.2449 5.2449 60.00 60.00 60.00
Closest atoms and distances in Å follow each position.
Element x y z (fractional)
1 Os 0.6253 0.6253 0.6253  6 Os 2.62-2.63
2 Os 0.1242 0.6253 0.6253  6 Os 2.62-2.63
3 Os 0.6253 0.6253 0.1242  6 Os 2.62-2.63
4 Os 0.6253 0.1242 0.6253  6 Os 2.62-2.63
5 Nb 0.2500 0.2500 0.2500  12 Os 3.08, 4 Er 3.21
6 Er 0.0000 0.0000 0.0000  12 Os 3.07, 4 Nb 3.21

The magnetic moment comes out at 0.00 μB per atom. Its space group is F-43m, No. 216. The final energy comes out at -10.0413 eV/atom.